Compound: NiBiF2
Source: Alexandria
Functional: GGA+U
Structure: relaxed

Cell: 9.2131 9.2131 9.2131 Å, 20.02 20.02 20.02°
Last column: nearest neighbours and their distance in Å.
Element x y z (fractional)
Ni1 0.0000 0.0000 0.0000  6 F 2.07
Bi1 0.5000 0.5000 0.5000  6 Bi 3.20, 2 F 3.58
F1 0.3677 0.3677 0.3677  3 Ni 2.07
F2 0.6323 0.6323 0.6323  3 Ni 2.07

Calculated values
Size of the total moment (μB per atom): 0.49
ΔE to the lowest computed polymorph (meV per atom): 0